Record 1
Below is an optimized crystal structure of PrSn2IrAu, with properties calculated at the PBE-GGA level.

a b c (Å): 4.636 4.636 10.809
angles (deg): 90.00 90.00 90.00
Atoms (fractional coordinates):
Au1 0.000 0.000 0.000
Au2 0.500 0.500 0.000
Ir1 0.500 0.000 0.378
Ir2 0.000 0.500 0.622
Pr1 0.000 0.500 0.256
Pr2 0.500 0.000 0.744
Sn1 0.500 0.000 0.142
Sn2 0.000 0.000 0.500
Sn3 0.500 0.500 0.500
Sn4 0.000 0.500 0.858

Properties
Symmetry: P4/nmm, No. 129
Total energy: -5.583 eV per atom



Record 2
Below is an optimized crystal structure of TaCo, with properties calculated at the PBE-GGA level.

a b c (Å): 4.088 4.088 4.914
angles (deg): 90.00 90.00 120.00
Atoms (fractional coordinates):
Co1 0.333 0.667 0.437
Co2 0.000 0.000 0.937
Ta1 0.000 0.000 0.438
Ta2 0.333 0.667 0.938

Properties
Symmetry: P6_3/mmc, No. 194
Formation energy: 64 kJ/mol of atoms



Record 3
Below is an optimized crystal structure of AgB2Ir2, with properties calculated at the PBE-GGA level.

a b c (Å): 5.027 5.027 5.027
angles (deg): 135.52 135.52 64.72
Atoms (fractional coordinates):
Ag1 0.000 0.000 0.000
B1 0.390 0.390 0.000
B2 0.610 0.610 0.000
Ir1 0.750 0.250 0.500
Ir2 0.250 0.750 0.500

Properties
Symmetry: I4/mmm, No. 139
Energy above the lowest structure with this stoichiometry: 0.0 meV/atom



Record 4
Below is an optimized crystal structure of RbDyTeO, with properties calculated at the PBE-GGA level.

a b c (Å): 4.809 8.702 7.003
angles (deg): 90.00 90.00 90.00
Atoms (fractional coordinates):
Dy1 0.500 0.895 0.026
Dy2 0.500 0.105 0.526
O1 0.500 0.076 0.224
O2 0.500 0.924 0.724
Rb1 0.000 0.288 0.117
Rb2 0.000 0.712 0.617
Te1 0.000 0.707 0.123
Te2 0.000 0.293 0.623

Properties
Symmetry: Pmc2_1, No. 26
Energy above the lowest structure with this stoichiometry: 159.3 meV/atom



Record 5
Below is an optimized crystal structure of LuZnInTe3, with properties calculated at the PBE-GGA level.

a b c (Å): 15.412 4.319 11.581
angles (deg): 90.00 90.00 90.00
Atoms (fractional coordinates):
In1 0.238 0.750 0.042
In2 0.738 0.750 0.458
In3 0.262 0.250 0.542
In4 0.762 0.250 0.958
Lu1 0.524 0.750 0.158
Lu2 0.024 0.750 0.342
Lu3 0.976 0.250 0.658
Lu4 0.476 0.250 0.842
Te1 0.398 0.250 0.078
Te2 0.910 0.750 0.117
Te3 0.647 0.250 0.245
Te4 0.147 0.250 0.255
Te5 0.410 0.750 0.383
Te6 0.898 0.250 0.422
Te7 0.102 0.750 0.578
Te8 0.590 0.250 0.617
Te9 0.853 0.750 0.745
Te10 0.353 0.750 0.755
Te11 0.090 0.250 0.883
Te12 0.602 0.750 0.922
Zn1 0.018 0.250 0.101
Zn2 0.518 0.250 0.399
Zn3 0.482 0.750 0.601
Zn4 0.982 0.750 0.899

Properties
Symmetry: Pnma, No. 62
Energy above the lowest structure with this stoichiometry: 14.7 meV/atom



Record 6
Below is an optimized crystal structure of NaAgMoPd, with properties calculated at the PBE-GGA level.

a b c (Å): 4.601 4.601 4.601
angles (deg): 60.00 60.00 60.00
Atoms (fractional coordinates):
Ag1 0.000 0.000 0.000
Mo1 0.250 0.250 0.250
Na1 0.750 0.750 0.750
Pd1 0.500 0.500 0.500

Properties
Symmetry: F-43m, No. 216
Energy above the lowest structure with this stoichiometry: 0.0 meV/atom